Below is a PBEsol-optimized structure of CaLaCrFeO6, with properties calculated at the SCAN level.

Symmetry   Pc, No. 7
Total energy   -308.833 eV/cell

Cell and atoms, written as POSCAR:
```
CaLaCrFeO6
1.0
5.384 0.000 0.000
0.000 5.411 0.000
-5.376 0.000 7.598
Ca La Cr Fe O
2 2 2 2 12
Cartesian
0.000 1.122 0.000
-2.688 4.288 3.799
0.076 1.505 3.800
2.764 3.905 0.001
2.743 1.360 1.889
0.055 4.051 5.688
-2.637 1.357 5.704
0.051 4.053 1.905
-1.114 2.476 1.604
-3.801 2.934 5.403
-2.309 1.279 3.775
-4.997 4.132 7.574
2.329 1.412 0.032
-0.359 3.998 3.831
1.247 0.189 2.155
-1.441 5.222 5.954
-1.061 2.526 6.007
1.627 2.885 2.208
1.205 0.147 5.449
3.893 5.264 1.650
```

=====

Below is a PBEsol-optimized structure of Ca2NbCrFe, with properties calculated at the SCAN level.

Symmetry   P4/mmm, No. 123
Total energy   -83.442 eV/cell
Formation energy   533 kJ/mol of formula units

Cell and atoms, written as POSCAR:
```
Ca2NbCrFe
1.0
5.392 0.000 0.000
0.000 5.392 0.000
0.000 0.000 4.440
Ca Nb Cr Fe
2 1 1 1
Cartesian
0.000 2.696 0.000
2.696 0.000 0.000
0.000 0.000 2.220
0.000 0.000 0.000
2.696 2.696 2.220
```

=====

Below is a PBEsol-optimized structure of Ca2CrFeO5, with properties calculated at the SCAN level.

Symmetry   Pnma, No. 62
Total energy   -442.996 eV/cell

Cell and atoms, written as POSCAR:
```
Ca2CrFeO5
1.0
5.304 0.000 0.000
0.000 14.699 0.000
0.000 0.000 5.491
Ca Cr Fe O
8 4 4 20
Cartesian
0.097 1.603 0.122
0.097 5.746 0.122
2.555 8.953 2.868
2.555 13.096 2.868
2.749 1.603 2.623
2.749 5.746 2.623
5.207 8.953 5.368
5.207 13.096 5.368
0.000 0.000 2.745
0.000 7.349 2.745
2.652 0.000 0.000
2.652 7.349 0.000
0.255 3.675 3.110
2.397 11.024 0.365
2.907 3.675 5.126
5.048 11.024 2.381
0.112 9.336 3.097
0.112 12.713 3.097
0.458 11.024 0.582
1.256 7.590 1.301
1.256 14.459 1.301
1.396 0.240 4.046
1.396 7.109 4.046
2.194 3.675 3.327
2.540 1.986 0.352
2.540 5.363 0.352
2.764 9.336 5.139
2.764 12.713 5.139
3.109 11.024 2.164
3.907 7.590 1.444
3.907 14.459 1.444
4.048 0.240 4.190
4.048 7.109 4.190
4.846 3.675 4.909
5.192 1.986 2.394
5.192 5.363 2.394
```

=====

Below is a PBEsol-optimized structure of CaCr3Ge, with properties calculated at the SCAN level.

Symmetry   Pm-3m, No. 221
Total energy   -73.799 eV/cell
Formation energy   975 kJ/mol of formula units

Cell and atoms, written as POSCAR:
```
CaCr3Ge
1.0
4.615 0.000 0.000
0.000 4.615 0.000
0.000 0.000 4.615
Ca Cr Ge
1 3 1
Cartesian
0.000 0.000 0.000
0.000 0.000 2.307
0.000 2.307 0.000
2.307 0.000 0.000
2.307 2.307 2.307
```

=====

Below is a PBEsol-optimized structure of CaCrH2O5, with properties calculated at the SCAN level.

Symmetry   Pbca, No. 61
Total energy   -676.854 eV/cell

Cell and atoms, written as POSCAR:
```
CaCrH2O5
1.0
7.883 0.000 0.000
0.000 8.053 0.000
0.000 0.000 12.604
Ca Cr H O
8 8 16 40
Cartesian
1.843 0.735 2.117
1.843 3.291 8.419
2.099 4.762 2.117
2.099 7.318 8.419
5.784 0.735 4.185
5.784 3.291 10.487
6.040 4.762 4.185
6.040 7.318 10.487
1.027 5.006 11.045
1.027 7.074 4.743
2.914 0.979 11.045
2.914 3.047 4.743
4.968 5.006 7.861
4.968 7.074 1.559
6.856 0.979 7.861
6.856 3.047 1.559
0.180 1.385 10.751
0.180 2.641 4.449
0.507 5.377 6.721
0.507 6.703 0.419
3.435 1.350 6.721
3.435 2.676 0.419
3.762 5.412 10.751
3.762 6.668 4.449
4.121 1.385 8.155
4.121 2.641 1.853
4.448 5.377 12.185
4.448 6.703 5.883
7.376 1.350 12.185
7.376 2.676 5.883
7.703 5.412 8.155
7.703 6.668 1.853
0.054 5.793 5.095
0.054 6.287 11.397
0.197 0.189 3.919
0.197 3.837 10.222
0.716 5.323 7.699
0.716 6.757 1.397
1.647 4.420 12.423
1.647 7.659 6.121
1.681 1.443 10.030
1.681 2.583 3.728
2.260 5.470 10.030
2.260 6.610 3.728
2.295 0.394 12.423
2.295 3.633 6.121
3.226 1.296 7.699
3.226 2.730 1.397
3.745 4.216 3.919
3.745 7.864 10.222
3.888 1.766 5.095
3.888 2.261 11.397
3.995 5.793 1.207
3.995 6.287 7.509
4.138 0.189 2.383
4.138 3.837 8.685
4.657 5.323 11.207
4.657 6.757 4.905
5.588 4.420 6.483
5.588 7.659 0.181
5.622 1.443 8.877
5.622 2.583 2.574
6.202 5.470 8.877
6.202 6.610 2.574
6.236 0.394 6.483
6.236 3.633 0.181
7.167 1.296 11.207
7.167 2.730 4.905
7.686 4.216 2.383
7.686 7.864 8.685
7.829 1.766 1.207
7.829 2.261 7.509
```

=====

Below is a PBEsol-optimized structure of CaCrSiH2, with properties calculated at the SCAN level.

Symmetry   P4/mmm, No. 123
Total energy   -39.916 eV/cell

Cell and atoms, written as POSCAR:
```
CaCrSiH2
1.0
3.899 0.000 0.000
0.000 3.899 0.000
0.000 0.000 5.816
Ca Cr Si H
1 1 1 2
Cartesian
0.000 0.000 0.000
1.949 1.949 0.000
0.000 0.000 2.908
0.000 1.949 2.908
1.949 0.000 2.908
```